(1)
! SrTlAg2Ir PBE-GGA optimized geometry; values from VASP
! E_form = 0.532 eV per atom
! Density of states at the Fermi level = 3.18 states/eV per cell
! Crystal system = tetragonal
&SYSTEM
  ibrav = 0, nat = 5, ntyp = 4
/
ATOMIC_SPECIES
Sr 87.62 Sr.upf
Tl 204.38 Tl.upf
Ir 192.22 Ir.upf
Ag 107.87 Ag.upf
ATOMIC_POSITIONS crystal
Sr 0.500 0.500 0.500
Tl 0.000 0.000 0.000
Ir 0.000 0.500 0.000
Ag 0.000 0.000 0.500
Ag 0.500 0.000 0.000
CELL_PARAMETERS angstrom
-0.220 -2.458 -4.587
2.509 -4.082 2.067
-4.562 -2.118 1.354

(2)
! Pr3AgSe2 PBE-GGA optimized geometry; values from VASP
! E_form (uncorrected) = -1.279 eV per atom
! Density of states at the Fermi level = 3.76 states/eV per cell
! Crystal system = tetragonal
&SYSTEM
  ibrav = 0, nat = 6, ntyp = 3
/
ATOMIC_SPECIES
Pr 140.91 Pr.upf
Ag 107.87 Ag.upf
Se 78.96 Se.upf
ATOMIC_POSITIONS crystal
Pr 0.934 0.936 0.874
Pr 0.262 0.263 0.529
Pr 0.607 0.608 0.219
Ag 0.434 0.436 0.874
Se 0.100 0.101 0.205
Se 0.769 0.770 0.543
CELL_PARAMETERS angstrom
-1.071 -4.136 -0.397
0.842 -0.620 4.161
-8.633 4.443 0.196

(3)
! Na2TiPb2 PBE-GGA optimized geometry; values from VASP
! E_form = 0.182 eV per atom
! Density of states at the Fermi level = 9.24 states/eV per cell
! Crystal system = tetragonal
&SYSTEM
  ibrav = 0, nat = 10, ntyp = 3
/
ATOMIC_SPECIES
Pb 207.20 Pb.upf
Na 22.99 Na.upf
Ti 47.87 Ti.upf
ATOMIC_POSITIONS crystal
Pb 0.339 0.839 0.000
Pb 0.839 0.661 0.000
Pb 0.661 0.161 0.000
Pb 0.161 0.339 0.000
Na 0.160 0.660 0.500
Na 0.660 0.840 0.500
Na 0.840 0.340 0.500
Na 0.340 0.160 0.500
Ti 0.000 0.000 0.000
Ti 0.500 0.500 0.000
CELL_PARAMETERS angstrom
7.528 0.000 0.000
0.000 7.528 0.000
0.000 0.000 5.116

(4)
! KBaLa2 PBE-GGA optimized geometry; values from VASP
! Energy above the lowest structure with this stoichiometry = 263 meV per atom
! E_form = 0.418 eV per atom
! Density of states at the Fermi level = 8.54 states/eV per cell
! Crystal system = tetragonal
&SYSTEM
  ibrav = 0, nat = 4, ntyp = 3
/
ATOMIC_SPECIES
Ba 137.33 Ba.upf
K 39.10 K.upf
La 138.91 La.upf
ATOMIC_POSITIONS crystal
Ba 0.500 0.500 0.000
K 0.500 0.000 0.500
La 0.000 0.000 0.000
La 0.000 0.500 0.500
CELL_PARAMETERS angstrom
-0.184 -2.448 -6.066
-4.902 -1.946 0.934
-2.154 4.570 -1.779

(5)
! BaAl2TlF8 PBE-GGA optimized geometry; values from VASP
! E_form (uncorrected) = -3.160 eV per atom
! Density of states at the Fermi level = 3.03 states/eV per cell
! Crystal system = trigonal
&SYSTEM
  ibrav = 0, nat = 12, ntyp = 4
/
ATOMIC_SPECIES
Ba 137.33 Ba.upf
Al 26.98 Al.upf
Tl 204.38 Tl.upf
F 19.00 F.upf
ATOMIC_POSITIONS crystal
Ba 0.000 0.000 0.000
Al 0.243 0.243 0.271
Al 0.757 0.757 0.729
Tl 0.500 0.500 0.500
F 0.151 0.151 0.548
F 0.531 0.237 0.172
F 0.849 0.849 0.452
F 0.060 0.531 0.172
F 0.940 0.469 0.828
F 0.237 0.060 0.172
F 0.763 0.940 0.828
F 0.469 0.763 0.828
CELL_PARAMETERS angstrom
6.713 0.000 0.000
3.357 5.814 0.000
3.357 1.938 6.137

(6)
! Pm2TiAs4Pt3 PBE-GGA optimized geometry; values from VASP
! E_form = -0.889 eV per atom
! Density of states at the Fermi level = 6.59 states/eV per cell
! Crystal system = tetragonal
&SYSTEM
  ibrav = 0, nat = 10, ntyp = 4
/
ATOMIC_SPECIES
Pm 145.00 Pm.upf
Ti 47.87 Ti.upf
As 74.92 As.upf
Pt 195.08 Pt.upf
ATOMIC_POSITIONS crystal
Pm 0.500 0.000 0.248
Pm 0.000 0.500 0.752
Ti 0.500 0.500 0.500
As 0.500 0.500 0.000
As 0.000 0.000 0.000
As 0.500 0.000 0.637
As 0.000 0.500 0.363
Pt 0.000 0.000 0.500
Pt 0.500 0.000 0.859
Pt 0.000 0.500 0.141
CELL_PARAMETERS angstrom
-3.266 0.623 -2.606
0.953 -3.570 -2.048
-6.559 -5.688 6.862

(7)
! ErIrSe2 PBE-GGA optimized geometry; values from VASP
! E_form (uncorrected) = -0.362 eV per atom
! Density of states at the Fermi level = 0.83 states/eV per cell
! Crystal system = trigonal
&SYSTEM
  ibrav = 0, nat = 4, ntyp = 3
/
ATOMIC_SPECIES
Ir 192.22 Ir.upf
Se 78.96 Se.upf
Er 167.26 Er.upf
ATOMIC_POSITIONS crystal
Ir 0.500 0.500 0.500
Se 0.116 0.116 0.653
Se 0.884 0.884 0.347
Er 0.000 0.000 0.000
CELL_PARAMETERS angstrom
3.787 0.000 0.000
1.894 3.280 0.000
1.894 1.093 8.148

(8)
! SrLi6In12 PBE-GGA optimized geometry; values from VASP
! E_form = -0.145 eV per atom
! Density of states at the Fermi level = 8.74 states/eV per cell
! Crystal system = trigonal
&SYSTEM
  ibrav = 0, nat = 19, ntyp = 3
/
ATOMIC_SPECIES
Sr 87.62 Sr.upf
Li 6.94 Li.upf
In 114.82 In.upf
ATOMIC_POSITIONS crystal
Sr 0.000 0.000 0.000
Li 0.711 0.276 0.276
Li 0.276 0.276 0.711
Li 0.276 0.711 0.276
Li 0.724 0.724 0.289
Li 0.289 0.724 0.724
Li 0.724 0.289 0.724
In 0.884 0.116 0.500
In 0.847 0.594 0.594
In 0.594 0.594 0.847
In 0.406 0.153 0.406
In 0.406 0.406 0.153
In 0.153 0.406 0.406
In 0.116 0.500 0.884
In 0.500 0.884 0.116
In 0.116 0.884 0.500
In 0.884 0.500 0.116
In 0.500 0.116 0.884
In 0.594 0.847 0.594
CELL_PARAMETERS angstrom
-7.664 0.676 2.474
-0.296 -5.007 -6.336
3.695 -4.224 5.815

> density of states at the Fermi level of number 6 (Pm2TiAs4Pt3)?

6.59 states/eV per cell

> Which of these has the lowest density of states at the Fermi level?

ErIrSe2

> Number 1 is which compound?

SrTlAg2Ir